# MnBeFeNiPb, optimized geometry, DFT GGA-PBE
data_MnBeFeNiPb
_chemical_formula_sum 'Mn2 Be2 Fe2 Ni2 Pb2'
_symmetry_space_group_name_H-M 'C 1 m 1'
_symmetry_Int_Tables_number 8
_symmetry_space_group_name_Hall 'C -2y'
_cell_length_a 6.3122
_cell_length_b 3.6192
_cell_length_c 6.7294
_cell_angle_alpha 90.00
_cell_angle_beta 107.85
_cell_angle_gamma 90.00
loop_
_atom_site_label
_atom_site_type_symbol
_atom_site_fract_x
_atom_site_fract_y
_atom_site_fract_z
Mn1 Mn 0.0000 0.0000 0.0000
Be1 Be 0.2907 0.0000 0.8734
Fe1 Fe 0.1992 0.5000 0.0957
Ni1 Ni 0.0745 0.5000 0.7265
Pb1 Pb 0.1432 0.0000 0.4304
# calculated volume	14.6	A^3/atom
# magnetic moment	0.1136	μB/atom
# total DFT energy (no corrections)	-58.231	eV for the cell shown
# polymorph energy (0 for the lowest one)	0.1452	eV/atom
# density of states at the Fermi level	7.5	states/eV/cell